Entry from the Alexandria database: crystalline Mg2Hg2Cl at its relaxed geometry (PBE-GGA).

```
Mg2Hg2Cl
1.0
-4.5418 -4.5558 -4.0742
4.8610 -5.7695 1.0326
-1.9728 -1.0570 3.3811
Mg Hg Cl
4 4 2
direct
0.3321 0.8321 0.0000
0.8321 0.6679 0.0000
0.6679 0.1679 0.0000
0.1679 0.3321 0.0000
0.1401 0.6401 0.5000
0.6401 0.8599 0.5000
0.8599 0.3599 0.5000
0.3599 0.1401 0.5000
0.0000 0.0000 0.0000
0.5000 0.5000 0.0000
```

Output
ΔE_f (raw) = -0.42 eV/atom
Symmetry = P4/mbm (127)



Entry from the Alexandria database: crystalline MgHgCl2 at its relaxed geometry (PBE-GGA).

```
MgHgCl2
1.0
-2.2684 0.9808 -2.3161
-2.5138 -0.7799 2.1317
0.1966 7.3629 2.9254
Cl Hg Mg
2 1 1
direct
0.0000 0.0000 0.9308
0.5000 0.5000 0.2942
0.0000 0.0000 0.5050
0.5000 0.5000 0.7700
```

Output
ΔE_f (raw) = -0.74 eV/atom
Symmetry = P4mm (99)



Entry from the Alexandria database: crystalline MgHgCl2 at its relaxed geometry (PBE-GGA).

```
MgHgCl2
1.0
4.8191 0.0938 0.0000
-0.1162 4.8186 0.0000
0.0000 0.0000 4.0396
Cl Hg Mg
2 1 1
direct
0.0000 0.0000 0.0000
0.5000 0.5000 0.0000
0.5000 0.0000 0.5000
0.0000 0.5000 0.5000
```

Output
ΔE_f (raw) = -0.53 eV/atom
Symmetry = Cmmm (65)



Entry from the Alexandria database: crystalline MgHgCl4 at its relaxed geometry (PBE-GGA).

```
MgHgCl4
1.0
6.3662 -0.1102 0.0000
-1.2448 6.1684 0.0000
-2.5607 -3.0291 8.5488
Mg Hg Cl
2 2 8
direct
0.8033 0.0533 0.1065
0.1967 0.9467 0.8935
0.3872 0.6372 0.2743
0.6128 0.3628 0.7257
0.2781 0.0482 0.6594
0.0662 0.8123 0.0911
0.1187 0.3888 0.3406
0.4751 0.7212 0.9089
0.7219 0.9518 0.3406
0.8813 0.6112 0.6594
0.9338 0.1877 0.9089
0.5249 0.2788 0.0911
```

Output
ΔE_f (raw) = -1.19 eV/atom
Symmetry = C2/c (15)



Entry from the Alexandria database: crystalline MgHgCl2 at its relaxed geometry (PBE-GGA).

```
MgHgCl2
1.0
-6.9742 2.4695 1.2612
-2.5167 -7.0703 -0.0732
-3.9637 -2.6301 5.5622
Mg Hg Cl
2 2 4
direct
0.5000 0.5000 0.0000
0.2500 0.7500 0.5000
0.0000 0.0000 0.0000
0.7500 0.2500 0.5000
0.4684 0.1250 0.2500
0.2816 0.6250 0.2500
0.3750 0.5316 0.7500
0.8750 0.7184 0.7500
```

Output
ΔE_f (raw) = -1.27 eV/atom
Symmetry = I-42d (122)



Entry from the Alexandria database: crystalline MgHg2Cl6 at its relaxed geometry (PBE-GGA).

```
MgHg2Cl6
1.0
-3.1627 -1.7984 -1.5580
5.2978 -1.7712 -3.6826
2.1930 -8.6190 5.4973
Mg Hg Cl
1 2 6
direct
0.0000 0.0000 0.5000
0.7231 0.4461 0.7656
0.2769 0.5539 0.2344
0.9170 0.8339 0.7228
0.8540 0.7079 0.1045
0.1460 0.2921 0.8955
0.6214 0.2427 0.5546
0.3786 0.7573 0.4454
0.0830 0.1661 0.2772
```

Output
ΔE_f (raw) = -0.96 eV/atom
Symmetry = C2/m (12)



Entry from the Alexandria database: crystalline MgHgCl2 at its relaxed geometry (PBE-GGA).

```
MgHgCl2
1.0
5.5436 -0.0044 -0.0080
-2.3035 4.6984 0.1721
0.9366 2.3684 4.2503
Cl Hg Mg
2 1 1
direct
0.0000 0.0000 0.0000
0.5000 0.0000 0.5000
0.0000 0.5000 0.5000
0.5000 0.5000 0.0000
```

Output
ΔE_f (raw) = -0.56 eV/atom
Symmetry = C2/m (12)



Entry from the Alexandria database: crystalline Mg3HgCl at its relaxed geometry (PBE-GGA).

```
Mg3HgCl
1.0
-4.4749 1.1892 -1.8473
1.4952 -1.4228 -4.5378
-1.6097 -4.6274 0.9205
Mg Hg Cl
3 1 1
direct
0.0000 0.5000 0.0000
0.0000 0.0000 0.5000
0.5000 0.0000 0.0000
0.5000 0.5000 0.5000
0.0000 0.0000 0.0000
```

Output
ΔE_f (raw) = 0.03 eV/atom
Symmetry = Pm-3m (221)



Entry from the Alexandria database: crystalline MgHgCl4 at its relaxed geometry (PBE-GGA).

```
MgHgCl4
1.0
-2.4578 -0.4436 -2.8701
-4.4403 -2.6864 4.2176
-4.9945 11.7253 2.4650
Mg Hg Cl
2 2 8
direct
0.0000 0.0000 0.5000
0.5000 0.5000 0.0000
0.5000 0.5000 0.5000
0.0000 0.0000 0.0000
0.5002 0.1503 0.3922
0.0002 0.3497 0.1078
0.4998 0.8497 0.6078
0.9998 0.6503 0.8922
0.9990 0.6902 0.3887
0.4990 0.8098 0.1113
0.0010 0.3098 0.6113
0.5010 0.1902 0.8887
```

Output
ΔE_f (raw) = -1.19 eV/atom
Symmetry = C2/m (12)



Entry from the Alexandria database: crystalline Mg2HgCl at its relaxed geometry (PBE-GGA).

```
Mg2HgCl
1.0
-1.1587 2.5101 -1.8731
-5.1610 0.2274 3.4972
2.0486 3.0534 2.8246
Cl Hg Mg
1 1 2
direct
0.5000 0.0000 0.5000
0.0000 0.5000 0.5000
0.0000 0.0000 0.0000
0.5000 0.5000 0.0000
```

Output
ΔE_f (raw) = -0.38 eV/atom
Symmetry = Pmmm (47)